Record 1
A plane-wave DFT calculation with PBE-GGA was carried out for Y2ErMg3Pd2Pt after structural relaxation.

Output
Magnetic moment in μB/atom: 0.00
Electronic total energy in eV/atom: -5.067

Cell: 4.104 7.362 7.362 Å, 119.76 90.00 90.00°
Sites, in units of the cell vectors:
Y1 0.000 0.204 0.796
Y2 0.000 0.796 0.204
Er1 0.000 0.390 0.390
Mg1 0.500 0.040 0.040
Mg2 0.500 0.551 0.796
Mg3 0.500 0.796 0.551
Pd1 0.500 0.133 0.461
Pd2 0.500 0.461 0.133
Pt1 0.000 0.792 0.792

=====

Record 2
A plane-wave DFT calculation with PBE-GGA was carried out for Er3Mg2ZnPdPt2 after structural relaxation.

Output
Magnetic moment in μB/atom: 0.00
Electronic total energy in eV/atom: -4.835

Cell: 3.925 7.366 7.366 Å, 119.89 90.00 90.00°
Sites, in units of the cell vectors:
Er1 0.000 0.000 0.000
Er2 0.000 0.157 0.556
Er3 0.000 0.556 0.157
Mg1 0.500 0.572 0.815
Mg2 0.500 0.815 0.572
Zn1 0.500 0.318 0.318
Pd1 0.000 0.560 0.560
Pt1 0.500 0.233 0.894
Pt2 0.500 0.894 0.233

=====

Record 3
A plane-wave DFT calculation with PBE-GGA was carried out for ErMgZn2Pd4 after structural relaxation.

Output
Magnetic moment in μB/atom: 0.00
Electronic total energy in eV/atom: -4.384

Cell: 4.533 4.533 6.398 Å, 90.00 90.00 90.00°
Sites, in units of the cell vectors:
Er1 0.000 0.000 0.000
Mg1 0.500 0.500 0.500
Zn1 0.000 0.000 0.500
Zn2 0.500 0.500 0.000
Pd1 0.000 0.500 0.264
Pd2 0.000 0.500 0.736
Pd3 0.500 0.000 0.264
Pd4 0.500 0.000 0.736

=====

Record 4
A plane-wave DFT calculation with PBE-GGA was carried out for PrErMg after structural relaxation.

Output
ΔE to the lowest computed polymorph in eV/atom: 0.0000
Magnetic moment in μB/atom: 0.14
Electronic total energy in eV/atom: -3.238

Cell: 5.296 5.296 5.296 Å, 60.00 60.00 60.00°
Sites, in units of the cell vectors:
Pr1 0.000 0.000 0.000
Er1 0.500 0.500 0.500
Mg1 0.750 0.750 0.750

=====

Record 5
A plane-wave DFT calculation with PBE-GGA was carried out for PrErMg6 after structural relaxation.

Output
Magnetic moment in μB/atom: 0.00
Electronic total energy in eV/atom: -2.416

Cell: 5.193 5.193 7.429 Å, 90.00 90.00 90.00°
Sites, in units of the cell vectors:
Pr1 0.000 0.000 0.000
Er1 0.500 0.500 0.500
Mg1 0.000 0.000 0.500
Mg2 0.000 0.500 0.258
Mg3 0.000 0.500 0.742
Mg4 0.500 0.000 0.258
Mg5 0.500 0.000 0.742
Mg6 0.500 0.500 0.000

=====

Record 6
A plane-wave DFT calculation with PBE-GGA was carried out for Pr2Er2Mg after structural relaxation.

Output
Magnetic moment in μB/atom: 0.00
Electronic total energy in eV/atom: -3.876

Cell: 8.787 8.787 4.172 Å, 90.00 90.00 90.00°
Sites, in units of the cell vectors:
Pr1 0.153 0.347 0.000
Pr2 0.347 0.847 0.000
Pr3 0.653 0.153 0.000
Pr4 0.847 0.653 0.000
Er1 0.147 0.647 0.500
Er2 0.353 0.147 0.500
Er3 0.647 0.853 0.500
Er4 0.853 0.353 0.500
Mg1 0.000 0.000 0.500
Mg2 0.500 0.500 0.500

=====

Record 7
A plane-wave DFT calculation with PBE-GGA was carried out for PrErMg6 after structural relaxation.

Output
Magnetic moment in μB/atom: 0.00
Electronic total energy in eV/atom: -2.415

Cell: 5.198 7.420 5.199 Å, 90.00 90.00 90.00°
Sites, in units of the cell vectors:
Pr1 0.000 0.000 0.000
Er1 0.500 0.500 0.492
Mg1 0.000 0.257 0.501
Mg2 0.000 0.500 0.000
Mg3 0.000 0.743 0.501
Mg4 0.500 0.000 0.494
Mg5 0.500 0.257 0.992
Mg6 0.500 0.743 0.992

=====

Record 8
A plane-wave DFT calculation with PBE-GGA was carried out for Pr2ErMg3Pt3 after structural relaxation.

Output
Magnetic moment in μB/atom: 0.00
Electronic total energy in eV/atom: -5.016

Cell: 4.118 7.485 7.485 Å, 119.88 90.00 90.00°
Sites, in units of the cell vectors:
Pr1 0.000 0.207 0.793
Pr2 0.000 0.793 0.207
Er1 0.000 0.613 0.613
Mg1 0.500 0.210 0.449
Mg2 0.500 0.449 0.210
Mg3 0.500 0.962 0.962
Pt1 0.000 0.215 0.215
Pt2 0.500 0.544 0.861
Pt3 0.500 0.861 0.544